BaPuMnO6: relaxed, PBE+U.

Properties
Crystal system = trigonal
Total DFT energy (no corrections) = -8.230 eV per atom

Cell: 5.372 5.372 11.665 Å, 90.00 90.00 120.00°
Positions (direct):
Ba 0.000 0.000 0.000
Ba 0.000 0.000 0.500
Pu 0.333 0.667 0.250
Pu 0.667 0.333 0.750
Mn 0.333 0.667 0.750
Mn 0.667 0.333 0.250
O 0.010 0.381 0.655
O 0.010 0.628 0.845
O 0.372 0.381 0.845
O 0.372 0.990 0.655
O 0.381 0.010 0.155
O 0.381 0.372 0.345
O 0.619 0.628 0.655
O 0.619 0.990 0.845
O 0.628 0.010 0.345
O 0.628 0.619 0.155
O 0.990 0.372 0.155
O 0.990 0.619 0.345